<P>
Compound: CaTbCdAg
Source: Alexandria
Functional: PBE
Structure: relaxed

Values from the calculation:
For the density of states at the Fermi level, the calculation gives 3.487 states/eV/f.u. As for the calculated volume: 104.43 Å³/f.u.

```
CaTbCdAg
1.0
3.717 0.000 0.000
0.000 3.717 0.000
0.000 0.000 7.560
Ca Ag Cd Tb
1 1 1 1
direct
0.000 0.000 0.365
0.500 0.500 0.623
0.500 0.500 0.095
0.000 0.000 0.845
```

<Q>
Compound: CaTbCdAg
Source: Alexandria
Functional: PBE
Structure: relaxed

Values from the calculation:
For the density of states at the Fermi level, the calculation gives 3.167 states/eV/f.u. As for the calculated volume: 103.34 Å³/f.u.

```
CaTbCdAg
1.0
5.267 0.000 0.000
2.634 4.562 0.000
2.634 1.521 4.301
Cd Ag Tb Ca
1 1 1 1
direct
0.750 0.750 0.750
0.250 0.250 0.250
0.500 0.500 0.500
0.000 0.000 0.000
```

Unit: meV per atom. Relative energies: <P> 0; <Q> 19.

<P>
Compound: CaCeAg
Source: Alexandria
Functional: PBE
Structure: relaxed

Values from the calculation:
For the density of states at the Fermi level, the calculation gives 7.277 states/eV/f.u. As for the calculated volume: 88.76 Å³/f.u.

```
CaCeAg
1.0
-0.540 2.704 2.318
-2.163 -2.111 1.959
6.724 -2.382 1.546
Ca Ce Ag
1 1 1
direct
0.026 0.026 0.052
0.309 0.309 0.617
0.665 0.665 0.331
```

<Q>
Compound: CaCeAg
Source: Alexandria
Functional: PBE
Structure: relaxed

Values from the calculation:
For the density of states at the Fermi level, the calculation gives 5.785 states/eV/f.u. As for the calculated volume: 81.97 Å³/f.u.

```
CaCeAg
1.0
-0.291 -2.195 -2.722
0.124 -4.145 3.329
-8.606 1.395 2.057
Ce Ag Ca
2 2 2
direct
0.771 0.250 0.541
0.229 0.750 0.459
0.421 0.250 0.841
0.579 0.750 0.159
0.924 0.750 0.849
0.076 0.250 0.151
```

Unit: meV per atom. Relative energies: <P> 91; <Q> 0.

<P>
Compound: Ca2Ag2Cl7
Source: Alexandria
Functional: PBE
Structure: relaxed

Values from the calculation:
For the density of states at the Fermi level, the calculation gives 5.083 states/eV/f.u. As for the calculated volume: 337.55 Å³/f.u.

```
Ca2Ag2Cl7
1.0
6.884 0.398 0.519
-0.841 7.249 -0.619
-0.841 -2.477 6.840
Cl Ca Ag
7 2 2
direct
0.726 0.433 0.040
0.253 0.430 0.430
0.000 0.000 0.000
0.747 0.570 0.570
0.274 0.567 0.960
0.726 0.040 0.433
0.274 0.960 0.567
0.500 0.683 0.317
0.500 0.317 0.683
0.861 0.266 0.266
0.139 0.734 0.734
```

<Q>
Compound: Ca2Ag2Cl7
Source: Alexandria
Functional: PBE
Structure: relaxed

Values from the calculation:
For the density of states at the Fermi level, the calculation gives 6.761 states/eV/f.u. As for the calculated volume: 358.23 Å³/f.u.

```
Ca2Ag2Cl7
1.0
-2.707 -0.111 2.917
-9.030 -0.147 -5.666
3.250 -8.592 5.411
Cl Ag Ca
7 2 2
direct
0.655 0.342 0.342
0.814 0.844 0.528
0.345 0.658 0.658
0.000 0.000 0.000
0.186 0.156 0.472
0.814 0.528 0.844
0.186 0.472 0.156
0.682 0.820 0.820
0.318 0.180 0.180
0.500 0.361 0.639
0.500 0.639 0.361
```

Unit: meV per atom. Relative energies: <P> 0; <Q> 65.

<P>
Compound: CaAg2Cl4
Source: Alexandria
Functional: PBE
Structure: relaxed

Values from the calculation:
For the density of states at the Fermi level, the calculation gives 0.000 states/eV/f.u. As for the calculated volume: 187.71 Å³/f.u.

```
CaAg2Cl4
1.0
8.146 0.000 0.000
0.000 8.146 0.000
0.000 0.000 11.315
Cl Ca Ag
16 4 8
direct
0.506 0.244 0.241
0.244 0.494 0.991
0.022 0.758 0.743
0.758 0.022 0.007
0.242 0.022 0.993
0.494 0.244 0.759
0.756 0.494 0.009
0.494 0.756 0.741
0.978 0.758 0.257
0.756 0.506 0.491
0.242 0.978 0.507
0.506 0.756 0.259
0.022 0.242 0.757
0.244 0.506 0.509
0.978 0.242 0.243
0.758 0.978 0.493
0.000 0.265 0.000
0.000 0.735 0.500
0.735 0.000 0.250
0.265 0.000 0.750
0.270 0.500 0.750
0.246 0.754 0.125
0.754 0.754 0.875
0.754 0.246 0.625
0.500 0.270 0.000
0.246 0.246 0.375
0.730 0.500 0.250
0.500 0.730 0.500
```

<Q>
Compound: CaAg2Cl4
Source: Alexandria
Functional: PBE
Structure: relaxed

Values from the calculation:
For the density of states at the Fermi level, the calculation gives 0.000 states/eV/f.u. As for the calculated volume: 199.32 Å³/f.u.

```
CaAg2Cl4
1.0
6.367 0.364 0.000
-2.747 5.756 0.000
-1.810 -3.060 5.294
Cl Ag Ca
4 2 1
direct
0.190 0.679 0.869
0.679 0.810 0.489
0.321 0.190 0.511
0.810 0.321 0.131
0.750 0.250 0.500
0.250 0.750 0.500
0.500 0.500 0.000
```

<R>
Compound: CaAg2Cl4
Source: Alexandria
Functional: PBE
Structure: relaxed

Values from the calculation:
As for the calculated volume: 191.14 Å³/f.u.

```
CaAg2Cl4
1.0
-3.427 3.474 2.381
-3.694 -1.005 -3.851
1.146 -6.070 4.313
Cl Ag Ca
4 2 1
direct
0.500 0.000 0.000
0.203 0.203 0.406
0.797 0.797 0.594
0.000 0.500 0.000
0.609 0.609 0.218
0.391 0.391 0.782
0.000 0.000 0.000
```

Unit: meV per atom. Relative energies: <P> 0; <Q> 117; <R> 157.

<P>
Compound: Ca2AgCl
Source: Alexandria
Functional: PBE
Structure: relaxed

Values from the calculation:
For the density of states at the Fermi level, the calculation gives 2.095 states/eV/f.u. As for the calculated volume: 115.63 Å³/f.u.

```
Ca2AgCl
1.0
-1.653 -2.326 5.120
-4.901 -2.697 -1.748
5.794 -0.218 -0.860
Ag Ca Cl
1 2 1
direct
0.250 0.750 0.500
0.527 0.527 0.000
0.973 0.973 0.000
0.750 0.250 0.500
```

<Q>
Compound: Ca2AgCl
Source: Alexandria
Functional: PBE
Structure: relaxed

Values from the calculation:
For the density of states at the Fermi level, the calculation gives 3.044 states/eV/f.u. As for the calculated volume: 112.95 Å³/f.u.

```
Ca2AgCl
1.0
-1.032 5.765 3.147
-3.765 5.462 0.445
-2.746 -2.133 3.018
Ca Ag Cl
2 1 1
direct
0.990 0.990 0.125
0.729 0.729 0.625
0.270 0.270 0.125
0.511 0.511 0.625
```

<R>
Compound: Ca2AgCl
Source: Alexandria
Functional: PBE
Structure: relaxed

Values from the calculation:
For the density of states at the Fermi level, the calculation gives 2.495 states/eV/f.u. As for the calculated volume: 108.84 Å³/f.u.

```
Ca2AgCl
1.0
0.000 3.790 3.790
3.790 0.000 3.790
3.790 3.790 0.000
Ag Ca Cl
1 2 1
direct
0.500 0.500 0.500
0.250 0.250 0.250
0.750 0.750 0.750
0.000 0.000 0.000
```

<S>
Compound: Ca2AgCl
Source: Alexandria
Functional: PBE
Structure: relaxed

Values from the calculation:
For the density of states at the Fermi level, the calculation gives 2.360 states/eV/f.u. As for the calculated volume: 105.22 Å³/f.u.

```
Ca2AgCl
1.0
3.640 0.027 0.000
-0.036 3.640 0.000
0.000 0.000 7.940
Cl Ca Ag
1 2 1
direct
0.500 0.500 0.250
0.000 0.000 0.522
0.000 0.000 0.978
0.500 0.500 0.750
```

Unit: meV per atom. Relative energies: <P> 104; <Q> 17; <R> 175; <S> 0.

<P>
Compound: Ca2AgCl
Source: Alexandria
Functional: PBE
Structure: relaxed

Values from the calculation:
For the density of states at the Fermi level, the calculation gives 2.064 states/eV/f.u. As for the calculated volume: 111.75 Å³/f.u.

```
Ca2AgCl
1.0
-2.156 2.288 -2.546
0.778 -0.095 -3.969
-5.656 -5.147 -3.041
Ca Ag Cl
2 1 1
direct
0.997 0.997 0.009
0.503 0.503 0.491
0.250 0.250 0.250
0.750 0.750 0.750
```

<Q>
Compound: Ca2AgCl
Source: Alexandria
Functional: PBE
Structure: relaxed

Values from the calculation:
For the density of states at the Fermi level, the calculation gives 3.475 states/eV/f.u. As for the calculated volume: 112.19 Å³/f.u.

```
Ca2AgCl
1.0
-6.059 -1.122 -0.798
0.813 -4.147 -0.342
-0.473 -0.440 4.209
Ca Cl Ag
2 1 1
direct
0.000 0.876 0.875
0.500 0.374 0.375
0.000 0.375 0.375
0.500 0.874 0.875
```

Unit: meV per atom. Relative energies: <P> 0; <Q> 45.

<P>
Compound: Ca2AgCl
Source: Alexandria
Functional: PBE
Structure: relaxed

Values from the calculation:
For the density of states at the Fermi level, the calculation gives 1.445 states/eV/f.u. As for the calculated volume: 125.79 Å³/f.u.

```
Ca2AgCl
1.0
-3.224 1.690 0.121
-1.156 -2.383 2.499
3.227 5.662 6.892
Ag Ca Cl
1 2 1
direct
0.500 0.500 0.787
0.000 0.000 0.972
0.500 0.500 0.303
0.000 0.000 0.438
```

<Q>
Compound: Ca2AgCl
Source: Alexandria
Functional: PBE
Structure: relaxed

Values from the calculation:
For the density of states at the Fermi level, the calculation gives 1.057 states/eV/f.u. As for the calculated volume: 120.33 Å³/f.u.

```
Ca2AgCl
1.0
-3.167 -7.002 -0.263
3.078 -1.131 -6.955
3.288 -5.639 -1.879
Ca Ag Cl
4 2 2
direct
0.142 0.625 0.250
0.608 0.125 0.250
0.375 0.392 0.750
0.875 0.858 0.750
0.000 0.000 0.000
0.750 0.250 0.500
0.500 0.500 0.000
0.250 0.750 0.500
```

Unit: meV per atom. Relative energies: <P> 32; <Q> 0.

<P>
Compound: Ca2AgCl
Source: Alexandria
Functional: PBE
Structure: relaxed

Values from the calculation:
For the density of states at the Fermi level, the calculation gives 1.002 states/eV/f.u. As for the calculated volume: 114.35 Å³/f.u.

```
Ca2AgCl
1.0
5.448 0.000 0.000
2.724 4.718 0.000
2.724 1.573 4.448
Ca Ag Cl
2 1 1
direct
0.250 0.250 0.250
0.000 0.000 0.000
0.500 0.500 0.500
0.750 0.750 0.750
```

<Q>
Compound: Ca2AgCl
Source: Alexandria
Functional: PBE
Structure: relaxed

Values from the calculation:
For the density of states at the Fermi level, the calculation gives 2.230 states/eV/f.u. As for the calculated volume: 114.55 Å³/f.u.

```
Ca2AgCl
1.0
3.651 0.000 0.000
0.000 3.924 -0.035
0.000 0.069 7.996
Ca Cl Ag
2 1 1
direct
0.000 0.250 0.529
0.000 0.250 0.971
0.500 0.250 0.250
0.500 0.750 0.750
```

<R>
Compound: Ca2AgCl
Source: Alexandria
Functional: PBE
Structure: relaxed

Values from the calculation:
For the density of states at the Fermi level, the calculation gives 1.679 states/eV/f.u. As for the calculated volume: 113.81 Å³/f.u.

```
Ca2AgCl
1.0
-0.941 -2.918 -2.630
2.425 -0.745 -3.143
4.604 -6.543 2.509
Ca Ag Cl
2 1 1
direct
0.080 0.080 0.761
0.257 0.257 0.229
0.669 0.669 0.994
0.495 0.495 0.516
```

Unit: meV per atom. Relative energies: <P> 744; <Q> 0; <R> 56.

<P>
Compound: CaAgCl4
Source: Alexandria
Functional: PBE
Structure: relaxed

Values from the calculation:
For the density of states at the Fermi level, the calculation gives 4.092 states/eV/f.u. As for the calculated volume: 150.86 Å³/f.u.

```
CaAgCl4
1.0
0.000 4.225 4.225
4.225 0.000 4.225
4.225 4.225 0.000
Cl Ag Ca
4 1 1
direct
0.375 0.375 0.375
0.375 0.874 0.375
0.874 0.375 0.375
0.375 0.375 0.874
0.750 0.750 0.750
0.000 0.000 0.000
```

<Q>
Compound: CaAgCl4
Source: Alexandria
Functional: PBE
Structure: relaxed

Values from the calculation:
For the density of states at the Fermi level, the calculation gives 1.130 states/eV/f.u. As for the calculated volume: 167.22 Å³/f.u.

```
CaAgCl4
1.0
-2.679 -3.706 6.089
6.169 -2.833 -3.451
2.073 6.868 2.552
Cl Ag Ca
8 2 2
direct
0.731 0.415 0.684
0.266 0.961 0.695
0.321 0.516 0.805
0.711 0.516 0.195
0.797 0.981 0.816
0.731 0.047 0.316
0.266 0.571 0.305
0.165 0.981 0.184
0.750 0.750 0.000
0.500 0.000 0.500
0.255 0.255 0.000
0.005 0.505 0.500
```

Unit: meV per atom. Relative energies: <P> 1056; <Q> 0.

<P>
Compound: Cs2CaAgCl6
Source: Alexandria
Functional: PBE
Structure: relaxed

Values from the calculation:
For the density of states at the Fermi level, the calculation gives 1.807 states/eV/f.u. As for the calculated volume: 310.98 Å³/f.u.

```
Cs2CaAgCl6
1.0
7.691 0.000 0.000
0.000 7.691 0.000
3.846 3.846 5.257
Cl Ca Cs Ag
6 1 2 1
direct
0.763 0.763 0.474
0.237 0.237 0.526
0.749 0.749 0.000
0.251 0.749 0.000
0.749 0.251 0.000
0.251 0.251 0.000
0.500 0.500 0.000
0.250 0.750 0.500
0.750 0.250 0.500
0.000 0.000 0.000
```

<Q>
Compound: Cs2CaAgCl6
Source: Alexandria
Functional: PBE
Structure: relaxed

Values from the calculation:
For the density of states at the Fermi level, the calculation gives 4.613 states/eV/f.u. As for the calculated volume: 306.75 Å³/f.u.

```
Cs2CaAgCl6
1.0
5.357 0.000 0.000
0.000 5.357 0.000
0.000 0.000 10.691
Cs Cl Ca Ag
2 6 1 1
direct
0.000 0.000 0.740
0.000 0.000 0.260
0.500 0.000 0.500
0.500 0.500 0.741
0.500 0.000 0.000
0.000 0.500 0.500
0.000 0.500 0.000
0.500 0.500 0.259
0.500 0.500 0.000
0.500 0.500 0.500
```

Unit: meV per atom. Relative energies: <P> 36; <Q> 0.

<P>
Compound: CaAgPCl2
Source: Alexandria
Functional: PBE
Structure: relaxed

Values from the calculation:
For the density of states at the Fermi level, the calculation gives 2.733 states/eV/f.u. As for the calculated volume: 128.42 Å³/f.u.

```
CaAgPCl2
1.0
5.101 0.000 0.000
0.000 5.101 0.000
0.000 0.000 4.935
Ag Ca P Cl
1 1 1 2
direct
0.000 0.000 0.000
0.500 0.500 0.500
0.000 0.000 0.500
0.000 0.500 0.000
0.500 0.000 0.000
```

<Q>
Compound: CaAgPCl2
Source: Alexandria
Functional: PBE
Structure: relaxed

Values from the calculation:
For the density of states at the Fermi level, the calculation gives 1.944 states/eV/f.u. As for the calculated volume: 158.43 Å³/f.u.

```
CaAgPCl2
1.0
5.207 0.000 0.000
0.000 5.207 0.000
0.000 0.000 5.844
P Cl Ag Ca
1 2 1 1
direct
0.000 0.000 0.500
0.500 0.000 0.000
0.000 0.500 0.000
0.500 0.500 0.500
0.000 0.000 0.000
```

Unit: meV per atom. Relative energies: <P> 0; <Q> 49.